The following is a PBE+U calculation of a geometry-optimized Li2MnO2F structure, from Alexandria via LeMat-Bulk.

For the magnetization, the calculation gives 4.00 μB per formula unit. As for the energy above the most stable polymorph in this dataset: 68 meV per atom.

a b c (Å): 5.1055 5.0919 5.2276
angles (deg): 78.52 101.30 62.08
Fractional coordinates of all 12 atoms:
Li1 0.5724 0.5907 0.4918
Li2 0.2625 0.2763 0.4923
Li3 0.3947 0.4178 0.9934
Li4 0.7468 0.7665 0.9918
Mn1 0.8896 0.9063 0.4907
Mn2 0.0807 0.0972 0.9906
O1 0.1207 0.7281 0.2553
O2 0.0058 0.4876 0.7425
O3 0.7134 0.1368 0.7263
O4 0.4682 0.0226 0.2376
F1 0.3410 0.8185 0.7473
F2 0.8016 0.3539 0.2362